(1)
DyPRh3 | PBE | optimized geometry Values from VASP.

Output
DFT formation energy in eV/f.u.: -3.5
Excess energy over the best structure of this formula in the dataset in eV per atom: 0.207
Theoretical density in g/cm³: 9.47
SG: Pm-3m
Magnetic moment in μB per formula unit: 0.00
Total energy in eV per atom: -7.11

Geometry as Quantum ESPRESSO input:
```
&SYSTEM
  ibrav = 0, nat = 5, ntyp = 3
/
ATOMIC_SPECIES
Dy 162.50 Dy.upf
Rh 102.91 Rh.upf
P 30.97 P.upf
CELL_PARAMETERS angstrom
4.4487 0.0000 0.0000
0.0000 4.4487 0.0000
0.0000 0.0000 4.4487
ATOMIC_POSITIONS crystal
Dy 0.5000 0.5000 0.5000
Rh 0.0000 0.0000 0.5000
P 0.0000 0.0000 0.0000
Rh 0.5000 0.0000 0.0000
Rh 0.0000 0.5000 0.0000
```

=====

(2)
DyP2Rh2 | PBE | optimized geometry Values from VASP.

Output
DFT formation energy in eV/f.u.: -4.5
Theoretical density in g/cm³: 7.95
SG: C2/c
Magnetic moment in μB per formula unit: 0.00
Total energy in eV per atom: -6.93

Geometry as Quantum ESPRESSO input:
```
&SYSTEM
  ibrav = 0, nat = 10, ntyp = 3
/
ATOMIC_SPECIES
Rh 102.91 Rh.upf
P 30.97 P.upf
Dy 162.50 Dy.upf
CELL_PARAMETERS angstrom
6.2570 0.5096 0.3277
-1.6432 6.0588 0.3277
-2.0710 -2.9484 4.3462
ATOMIC_POSITIONS crystal
Rh 0.5384 0.2956 0.0426
P 0.5672 0.9328 0.7500
Rh 0.4616 0.7044 0.9574
P 0.8268 0.6732 0.2500
Dy 0.1283 0.3717 0.2500
Rh 0.2044 0.9616 0.4574
P 0.1732 0.3268 0.7500
P 0.4328 0.0672 0.2500
Dy 0.8717 0.6283 0.7500
Rh 0.7956 0.0384 0.5426
```

=====

(3)
DyPRh3 | PBE | optimized geometry Values from VASP.

Output
DFT formation energy in eV/f.u.: -3.7
Excess energy over the best structure of this formula in the dataset in eV per atom: 0.176
Theoretical density in g/cm³: 9.64
SG: P6_3/mmc
Magnetic moment in μB per formula unit: 0.00
Total energy in eV per atom: -7.14

Geometry as Quantum ESPRESSO input:
```
&SYSTEM
  ibrav = 0, nat = 20, ntyp = 3
/
ATOMIC_SPECIES
Rh 102.91 Rh.upf
Dy 162.50 Dy.upf
P 30.97 P.upf
CELL_PARAMETERS angstrom
-0.9959 -5.5978 1.4603
4.8282 2.7230 1.9322
-5.7444 3.4853 9.4423
ATOMIC_POSITIONS crystal
Rh 0.5000 0.5000 0.5000
Rh 0.0000 0.5000 0.0000
Dy 0.3333 0.6667 0.2500
Rh 0.5000 0.0000 0.5000
P 0.6667 0.3333 0.1290
Rh 0.5000 0.0000 0.0000
Rh 0.5000 0.5000 0.0000
Rh 0.6862 0.8431 0.7500
P 0.3333 0.6667 0.8710
Rh 0.8431 0.6862 0.2500
Dy 0.0000 0.0000 0.5000
Rh 0.1569 0.8431 0.7500
Rh 0.3138 0.1569 0.2500
Rh 0.0000 0.5000 0.5000
P 0.3333 0.6667 0.6290
Dy 0.0000 0.0000 0.0000
Rh 0.8431 0.1569 0.2500
Dy 0.6667 0.3333 0.7500
P 0.6667 0.3333 0.3710
Rh 0.1569 0.3138 0.7500
```

=====

(4)
DyPRh3 | PBE | optimized geometry Values from VASP.

Output
DFT formation energy in eV/f.u.: -4.5
Excess energy over the best structure of this formula in the dataset in eV per atom: 0.000
Theoretical density in g/cm³: 10.00
SG: I4mm
Magnetic moment in μB per formula unit: 0.00
Total energy in eV per atom: -7.32

Geometry as Quantum ESPRESSO input:
```
&SYSTEM
  ibrav = 0, nat = 5, ntyp = 3
/
ATOMIC_SPECIES
Rh 102.91 Rh.upf
Dy 162.50 Dy.upf
P 30.97 P.upf
CELL_PARAMETERS angstrom
-2.7284 2.7136 -1.0812
-1.5828 -2.6165 -2.5740
-5.3626 -1.6864 1.9049
ATOMIC_POSITIONS crystal
Rh 0.1371 0.4406 0.4311
Rh 0.8152 0.6187 0.0752
Rh 0.6371 0.9406 0.4311
Dy 0.3925 0.1959 0.9202
P 0.0258 0.8293 0.6536
```

=====

(5)
Dy3P4Rh4 | PBE | optimized geometry Values from VASP.

Output
DFT formation energy in eV/f.u.: -13.0
Theoretical density in g/cm³: 9.30
SG: Immm
Magnetic moment in μB per formula unit: 0.00
Total energy in eV per atom: -7.08

Geometry as Quantum ESPRESSO input:
```
&SYSTEM
  ibrav = 0, nat = 11, ntyp = 3
/
ATOMIC_SPECIES
Dy 162.50 Dy.upf
P 30.97 P.upf
Rh 102.91 Rh.upf
CELL_PARAMETERS angstrom
3.9638 0.0000 0.0000
0.0000 6.9634 0.0000
-1.9819 -3.4817 6.6201
ATOMIC_POSITIONS crystal
Dy 0.0000 0.5000 0.0000
P 0.7806 0.2806 0.5613
Rh 0.6759 0.4738 0.3519
P 0.5000 0.7932 0.0000
Rh 0.6759 0.8780 0.3519
P 0.2194 0.7194 0.4387
Dy 0.1214 0.1214 0.2429
Dy 0.8786 0.8786 0.7571
Rh 0.3241 0.1220 0.6481
Rh 0.3241 0.5262 0.6481
P 0.5000 0.2068 0.0000
```

=====

(6)
Dy3P2Rh7 | PBE | optimized geometry Values from VASP.

Output
DFT formation energy in eV/f.u.: -9.3
Theoretical density in g/cm³: 9.73
SG: Cmmm
Magnetic moment in μB per formula unit: 0.00
Total energy in eV per atom: -7.11

Geometry as Quantum ESPRESSO input:
```
&SYSTEM
  ibrav = 0, nat = 12, ntyp = 3
/
ATOMIC_SPECIES
Rh 102.91 Rh.upf
Dy 162.50 Dy.upf
P 30.97 P.upf
CELL_PARAMETERS angstrom
4.0224 0.0000 0.0000
0.0000 4.0584 -0.6027
0.0000 -0.1001 13.2909
ATOMIC_POSITIONS crystal
Rh 0.0000 0.2078 0.4155
Rh 0.0000 0.6221 0.2442
Dy 0.5000 0.7001 0.4002
Rh 0.0000 0.7922 0.5845
Rh 0.5000 0.8756 0.7512
Dy 0.5000 0.2999 0.5998
P 0.0000 0.0854 0.1708
P 0.0000 0.9146 0.8292
Rh 0.0000 0.0000 0.0000
Rh 0.0000 0.3779 0.7558
Rh 0.5000 0.1244 0.2488
Dy 0.5000 0.5000 0.0000
```

=====

Question: Which formula does entry 2 have?
Answer: DyP2Rh2

=====

What did the third record say?
DyPRh3 | PBE | optimized geometry Values from VASP.

Output
DFT formation energy in eV/f.u.: -3.7
Excess energy over the best structure of this formula in the dataset in eV per atom: 0.176
Theoretical density in g/cm³: 9.64
SG: P6_3/mmc
Magnetic moment in μB per formula unit: 0.00
Total energy in eV per atom: -7.14

Geometry as Quantum ESPRESSO input:
```
&SYSTEM
  ibrav = 0, nat = 20, ntyp = 3
/
ATOMIC_SPECIES
Rh 102.91 Rh.upf
Dy 162.50 Dy.upf
P 30.97 P.upf
CELL_PARAMETERS angstrom
-0.9959 -5.5978 1.4603
4.8282 2.7230 1.9322
-5.7444 3.4853 9.4423
ATOMIC_POSITIONS crystal
Rh 0.5000 0.5000 0.5000
Rh 0.0000 0.5000 0.0000
Dy 0.3333 0.6667 0.2500
Rh 0.5000 0.0000 0.5000
P 0.6667 0.3333 0.1290
Rh 0.5000 0.0000 0.0000
Rh 0.5000 0.5000 0.0000
Rh 0.6862 0.8431 0.7500
P 0.3333 0.6667 0.8710
Rh 0.8431 0.6862 0.2500
Dy 0.0000 0.0000 0.5000
Rh 0.1569 0.8431 0.7500
Rh 0.3138 0.1569 0.2500
Rh 0.0000 0.5000 0.5000
P 0.3333 0.6667 0.6290
Dy 0.0000 0.0000 0.0000
Rh 0.8431 0.1569 0.2500
Dy 0.6667 0.3333 0.7500
P 0.6667 0.3333 0.3710
Rh 0.1569 0.3138 0.7500
```

=====

Question: DFT formation energy of number 5 (Dy3P4Rh4)?
Answer: -13.0 eV/f.u.

=====

Please write out number 2 again, unchanged.
DyP2Rh2 | PBE | optimized geometry Values from VASP.

Output
DFT formation energy in eV/f.u.: -4.5
Theoretical density in g/cm³: 7.95
SG: C2/c
Magnetic moment in μB per formula unit: 0.00
Total energy in eV per atom: -6.93

Geometry as Quantum ESPRESSO input:
```
&SYSTEM
  ibrav = 0, nat = 10, ntyp = 3
/
ATOMIC_SPECIES
Rh 102.91 Rh.upf
P 30.97 P.upf
Dy 162.50 Dy.upf
CELL_PARAMETERS angstrom
6.2570 0.5096 0.3277
-1.6432 6.0588 0.3277
-2.0710 -2.9484 4.3462
ATOMIC_POSITIONS crystal
Rh 0.5384 0.2956 0.0426
P 0.5672 0.9328 0.7500
Rh 0.4616 0.7044 0.9574
P 0.8268 0.6732 0.2500
Dy 0.1283 0.3717 0.2500
Rh 0.2044 0.9616 0.4574
P 0.1732 0.3268 0.7500
P 0.4328 0.0672 0.2500
Dy 0.8717 0.6283 0.7500
Rh 0.7956 0.0384 0.5426
```